Record 1
Here is a relaxed structure of Sr4NiBr from the Alexandria database. Energies are from PBE.

Properties
Symmetry: F-43m
D(E_F): 1.697 states/eV per atom
Raw formation energy: 3.03 eV per formula unit
Calculated density: 2.95 g/cm³

Cell lengths 7.3001, 7.3001, 7.3001 Å; angles 60.00, 60.00, 60.00 degrees
Atoms (fractional coordinates):
Sr1 0.3742 0.8774 0.3742
Sr2 0.3742 0.3742 0.8774
Sr3 0.8774 0.3742 0.3742
Sr4 0.3742 0.3742 0.3742
Ni1 0.0000 0.0000 0.0000
Br1 0.7500 0.7500 0.7500

Record 2
Here is a relaxed structure of SrNi2Br from the Alexandria database. Energies are from PBE.

Properties
Symmetry: F-43m
D(E_F): 2.503 states/eV per atom
Raw formation energy: 1.05 eV per formula unit
Calculated density: 5.64 g/cm³

Cell lengths 4.9124, 4.9124, 4.9124 Å; angles 60.00, 60.00, 60.00 degrees
Atoms (fractional coordinates):
Ni1 0.0000 0.0000 0.0000
Ni2 0.2500 0.2500 0.2500
Sr1 0.7500 0.7500 0.7500
Br1 0.5000 0.5000 0.5000

Record 3
Here is a relaxed structure of Sr2NiBr from the Alexandria database. Energies are from PBE.

Properties
Symmetry: C2/m
D(E_F): 0.541 states/eV per atom
Raw formation energy: -2.89 eV per formula unit
Calculated density: 4.18 g/cm³

Cell lengths 4.2427, 4.2427, 8.3630 Å; angles 75.36, 75.36, 60.04 degrees
Atoms (fractional coordinates):
Br1 0.7500 0.7500 0.7500
Sr1 0.9869 0.9869 0.0394
Sr2 0.5131 0.5131 0.4606
Ni1 0.2500 0.2500 0.2500

Record 4
Here is a relaxed structure of Sr2NiBr from the Alexandria database. Energies are from PBE.

Properties
Symmetry: Fm-3m
D(E_F): 0.546 states/eV per atom
Raw formation energy: -1.80 eV per formula unit
Calculated density: 4.57 g/cm³

Cell lengths 5.4450, 5.4450, 5.4450 Å; angles 60.00, 60.00, 60.00 degrees
Atoms (fractional coordinates):
Sr1 0.7500 0.7500 0.7500
Sr2 0.2500 0.2500 0.2500
Ni1 0.0000 0.0000 0.0000
Br1 0.5000 0.5000 0.5000

Record 5
Here is a relaxed structure of SrNiTeBr2 from the Alexandria database. Energies are from PBE.

Properties
Symmetry: P4/mmm
D(E_F): 0.432 states/eV per atom
Raw formation energy: -4.29 eV per formula unit
Calculated density: 5.34 g/cm³

Cell lengths 4.9648, 5.4686, 4.9648 Å; angles 90.00, 90.00, 90.00 degrees
Atoms (fractional coordinates):
Sr1 0.5000 0.5000 0.5000
Br1 0.0000 0.0000 0.5000
Br2 0.5000 0.0000 0.0000
Te1 0.0000 0.5000 0.0000
Ni1 0.0000 0.0000 0.0000

Record 6
Here is a relaxed structure of SrNi2WBr from the Alexandria database. Energies are from PBE.

Properties
Symmetry: P4/mmm
D(E_F): 1.080 states/eV per atom
Raw formation energy: 3.80 eV per formula unit
Calculated density: 5.73 g/cm³

Cell lengths 4.5218, 6.6414, 4.5218 Å; angles 90.00, 90.00, 90.00 degrees
Atoms (fractional coordinates):
Ni1 0.0000 0.0000 0.5000
Ni2 0.5000 0.0000 0.0000
Br1 0.5000 0.5000 0.5000
W1 0.0000 0.0000 0.0000
Sr1 0.0000 0.5000 0.0000

Record 7
Here is a relaxed structure of SrYNiBr2 from the Alexandria database. Energies are from PBE.

Properties
Symmetry: P4/mmm
D(E_F): 1.188 states/eV per atom
Raw formation energy: -3.23 eV per formula unit
Calculated density: 4.22 g/cm³

Cell lengths 5.5387, 5.0649, 5.5387 Å; angles 90.00, 90.00, 90.00 degrees
Atoms (fractional coordinates):
Br1 0.5000 0.0000 0.0000
Br2 0.0000 0.0000 0.5000
Y1 0.0000 0.0000 0.0000
Sr1 0.5000 0.5000 0.5000
Ni1 0.0000 0.5000 0.0000

Record 8
Here is a relaxed structure of Ta2NiBr from the Alexandria database. Energies are from PBE.

Properties
Symmetry: C2/m
D(E_F): 0.885 states/eV per atom
Raw formation energy: 1.82 eV per formula unit
Calculated density: 12.03 g/cm³

Cell lengths 4.6476, 4.6476, 5.1693 Å; angles 81.84, 81.84, 38.73 degrees
Atoms (fractional coordinates):
Br1 0.7500 0.7500 0.7500
Ni1 0.2500 0.2500 0.2500
Ta1 0.5076 0.5076 0.4697
Ta2 0.9924 0.9924 0.0303

Record 9
Here is a relaxed structure of TaNiBr from the Alexandria database. Energies are from PBE.

Properties
Symmetry: F-43m
D(E_F): 0.818 states/eV per atom
Raw formation energy: 3.05 eV per formula unit
Calculated density: 10.19 g/cm³

Cell lengths 4.1911, 4.1911, 4.1911 Å; angles 60.00, 60.00, 60.00 degrees
Atoms (fractional coordinates):
Br1 0.7500 0.7500 0.7500
Ta1 0.5000 0.5000 0.5000
Ni1 0.0000 0.0000 0.0000

Record 10
Here is a relaxed structure of TaNiBr2 from the Alexandria database. Energies are from PBE.

Properties
Symmetry: R-3m
D(E_F): 1.899 states/eV per atom
Raw formation energy: 1.77 eV per formula unit
Calculated density: 8.33 g/cm³

Cell lengths 8.4732, 8.4732, 8.4732 Å; angles 22.72, 22.72, 22.72 degrees
Atoms (fractional coordinates):
Ni1 0.5000 0.5000 0.5000
Ta1 0.0000 0.0000 0.0000
Br1 0.1018 0.1018 0.1018
Br2 0.8982 0.8982 0.8982

Record 11
Here is a relaxed structure of Ta4NiBr from the Alexandria database. Energies are from PBE.

Properties
Symmetry: F-43m
D(E_F): 1.043 states/eV per atom
Raw formation energy: 5.67 eV per formula unit
Calculated density: 12.30 g/cm³

Cell lengths 5.4811, 5.4811, 5.4811 Å; angles 60.00, 60.00, 60.00 degrees
Atoms (fractional coordinates):
Ni1 0.0000 0.0000 0.0000
Ta1 0.3735 0.3735 0.8795
Ta2 0.3735 0.8795 0.3735
Ta3 0.3735 0.3735 0.3735
Ta4 0.8795 0.3735 0.3735
Br1 0.7500 0.7500 0.7500

Record 12
Here is a relaxed structure of Ta2NiBr from the Alexandria database. Energies are from PBE.

Properties
Symmetry: P4/mmm
D(E_F): 0.798 states/eV per atom
Raw formation energy: 1.23 eV per formula unit
Calculated density: 12.87 g/cm³

Cell lengths 3.0262, 3.0262, 7.0512 Å; angles 90.00, 90.00, 90.01 degrees
Atoms (fractional coordinates):
Ta1 0.0000 0.0000 0.5200
Ta2 0.0000 0.0000 0.9800
Ni1 0.5000 0.5000 0.7500
Br1 0.5000 0.5000 0.2500

| no. | total magnetic moment (Bohr magnetons per cell) |
| --- | --- |
| 1 | 0.09 |
| 2 | 1.03 |
| 3 | 0.00 |
| 4 | 0.00 |
| 5 | 0.00 |
| 6 | 0.93 |
| 7 | 0.00 |
| 8 | 0.00 |
| 9 | 0.00 |
| 10 | 0.00 |
| 11 | 0.00 |
| 12 | 0.00 |